Compound: Mn2NiO4
Source: the Alexandria database
Functional: GGA+U
Structure: optimized geometry

Its final energy is -5.95 eV per atom. Its relative energy among the computed polymorphs is 78.2 kJ/mol of atoms. For the volume, the calculation gives 176 Å³ per cell. The total magnetization comes out at 16.0 μB per cell.

The space group is I422 (No. 97) and the conventional cell measures 5.6629, 5.6629 and 5.5019 Å, with angles of 90.00, 90.00 and 90.00 degrees. The asymmetric unit holds Mn at (0.0000, 0.5000, 0.0000), Ni at (0.0000, 0.0000, 0.0000) and O at (0.1639, 0.3361, 0.7500).